VASP calculation (PBE) on a relaxed structure of BaTaPS2.

The density of states at the Fermi level is 3.179 states/eV/atom. The calculation puts the relative energy among the computed polymorphs at 2.872 eV/atom.

Lattice parameters (Å, degrees): 5.4266 5.4869 5.4266 90.00 90.00 90.00
Fractional coordinates of all 5 atoms:
P 0.0000 0.5000 0.0000
S 0.0000 0.0000 0.5000
S 0.5000 0.0000 0.0000
Ba 0.0000 0.0000 0.0000
Ta 0.5000 0.5000 0.5000

VASP calculation (PBE) on a relaxed structure of BaTeP2S.

The density of states at the Fermi level is 0.711 states/eV/atom. The calculation puts the relative energy among the computed polymorphs at 0.000 eV/atom.

Lattice parameters (Å, degrees): 5.1094 5.1094 5.3113 90.00 90.00 90.00
Fractional coordinates of all 5 atoms:
P 0.0000 0.5000 0.0000
P 0.5000 0.0000 0.0000
S 0.0000 0.0000 0.5000
Te 0.0000 0.0000 0.0000
Ba 0.5000 0.5000 0.5000

VASP calculation (PBE) on a relaxed structure of BaTeP2S.

The density of states at the Fermi level is 1.244 states/eV/atom. The calculation puts the relative energy among the computed polymorphs at 1.241 eV/atom.

Lattice parameters (Å, degrees): 6.2351 6.2351 5.6566 90.00 90.00 90.00
Site moments in Bohr magnetons follow the coordinates.
Fractional coordinates of all 5 atoms:
P 0.0000 0.5000 0.0000  0.83
P 0.5000 0.0000 0.0000  0.83
S 0.0000 0.0000 0.5000  -0.17
Te 0.5000 0.5000 0.5000  -0.77
Ba 0.0000 0.0000 0.0000  0.06

VASP calculation (PBE) on a relaxed structure of BaTiPS2.

The density of states at the Fermi level is 1.350 states/eV/atom. The calculation puts the relative energy among the computed polymorphs at 2.249 eV/atom.

Lattice parameters (Å, degrees): 5.5674 5.5674 5.4475 90.00 90.00 90.00
Site moments in Bohr magnetons follow the coordinates.
Fractional coordinates of all 5 atoms:
P 0.0000 0.0000 0.5000  0.14
S 0.0000 0.5000 0.0000  0.07
S 0.5000 0.0000 0.0000  0.07
Ba 0.0000 0.0000 0.0000  0.00
Ti 0.5000 0.5000 0.5000  -0.33

VASP calculation (PBE) on a relaxed structure of BaTiP2S.

The density of states at the Fermi level is 0.914 states/eV/atom. The calculation puts the relative energy among the computed polymorphs at 0.000 eV/atom.

Lattice parameters (Å, degrees): 4.7867 4.7867 5.0208 90.00 90.00 90.00
Fractional coordinates of all 5 atoms:
P 0.0000 0.5000 0.0000
P 0.5000 0.0000 0.0000
S 0.0000 0.0000 0.5000
Ba 0.5000 0.5000 0.5000
Ti 0.0000 0.0000 0.0000

VASP calculation (PBE) on a relaxed structure of BaTiP2S8.

The total energy comes out at -5.248 eV/atom.

Lattice parameters (Å, degrees): 6.0018 6.0018 8.7605 90.00 90.00 120.00
Fractional coordinates of all 12 atoms:
Ba 0.0000 0.0000 0.0000
Ti 0.0000 0.0000 0.5000
P 0.6667 0.3333 0.2687
P 0.3333 0.6667 0.7313
S 0.3333 0.6667 0.9601
S 0.3294 0.3265 0.3350
S 0.6735 0.0028 0.3350
S 0.6667 0.3333 0.0399
S 0.3265 0.9972 0.6650
S 0.6706 0.6735 0.6650
S 0.0028 0.3294 0.6650
S 0.9972 0.6706 0.3350

VASP calculation (PBE) on a relaxed structure of BaTiPS2.

The density of states at the Fermi level is 0.429 states/eV/atom. The calculation puts the relative energy among the computed polymorphs at 0.000 eV/atom.

Lattice parameters (Å, degrees): 4.8644 4.8644 4.8330 90.00 90.00 90.00
Fractional coordinates of all 5 atoms:
P 0.0000 0.0000 0.5000
S 0.0000 0.5000 0.0000
S 0.5000 0.0000 0.0000
Ba 0.5000 0.5000 0.5000
Ti 0.0000 0.0000 0.0000

VASP calculation (PBE) on a relaxed structure of BaTiP2S.

The density of states at the Fermi level is 1.181 states/eV/atom. The calculation puts the relative energy among the computed polymorphs at 2.133 eV/atom.

Lattice parameters (Å, degrees): 5.4230 5.4230 5.5545 90.00 90.00 90.00
Site moments in Bohr magnetons follow the coordinates.
Fractional coordinates of all 5 atoms:
P 0.0000 0.5000 0.0000  0.17
P 0.5000 0.0000 0.0000  0.17
S 0.0000 0.0000 0.5000  0.14
Ba 0.0000 0.0000 0.0000  0.00
Ti 0.5000 0.5000 0.5000  -1.82

VASP calculation (PBE) on a relaxed structure of Ba2TiPS.

The density of states at the Fermi level is 1.100 states/eV/atom. The total energy comes out at -4.434 eV/atom.

Lattice parameters (Å, degrees): 6.1936 4.4715 6.1936 90.00 90.00 90.00
Site moments in Bohr magnetons follow the coordinates.
Fractional coordinates of all 5 atoms:
P 0.5000 0.5000 0.5000  -0.05
S 0.0000 0.5000 0.0000  -0.09
Ba 0.0000 0.0000 0.5000  0.18
Ba 0.5000 0.0000 0.0000  0.13
Ti 0.0000 0.0000 0.0000  1.59

VASP calculation (PBE) on a relaxed structure of BaTlP2S.

The density of states at the Fermi level is 0.972 states/eV/atom. The calculation puts the relative energy among the computed polymorphs at 0.607 eV/atom.

Lattice parameters (Å, degrees): 6.1247 6.1247 5.8244 90.00 90.00 90.00
Site moments in Bohr magnetons follow the coordinates.
Fractional coordinates of all 5 atoms:
S 0.0000 0.0000 0.5000  0.20
P 0.0000 0.5000 0.0000  0.77
P 0.5000 0.0000 0.0000  0.77
Tl 0.5000 0.5000 0.5000  0.01
Ba 0.0000 0.0000 0.0000  0.05